A plane-wave DFT calculation with GGA-PBE was carried out for a relaxed structure of Ta2NiPt9.

a b c (Å): 3.9826 3.9826 11.7968
angles (deg): 90.00 90.00 90.00
With the nearest neighbours (Å) after each atom.
Space group P4/mmm (No. 123)
Unique sites:
1 Ta 0.0000 0.0000 0.1774 x2  12 Pt 2.71-2.89
2 Ni 0.0000 0.0000 0.5000 x1  12 Pt 2.80-2.82
3 Pt 0.0000 0.5000 0.0000 x2  8 Pt 2.79-2.82, 4 Ta 2.89
4 Pt 0.0000 0.5000 0.3333 x4  2 Ta 2.71, 2 Ni 2.80, 8 Pt 2.80-2.82
5 Pt 0.5000 0.5000 0.1661 x2  8 Pt 2.79-2.80, 4 Ta 2.82
6 Pt 0.5000 0.5000 0.5000 x1  8 Pt 2.80, 4 Ni 2.82

Output
* density of states at the Fermi level: 9.040 states/eV/f.u.
* energy of formation: -12.1 kcal/mol of atoms
* raw total energy: -90.13 eV/cell
* calculated volume: 187 Å³ per cell
* M_tot: 0.96 μB/cell